Material: K3Sm2SnS6
Method: DFT, PBE
State: optimized geometry

Properties
Energy relative to the elements, uncorrected: -1.471 eV/atom
Spin magnetization: 0.00 μB per formula unit

Unit cell a=7.137 b=7.137 c=7.745 alpha=98.83 beta=98.83 gamma=120.00
Atoms (fractional coordinates):
K1 0.000 0.000 0.000
K2 0.334 0.666 0.000
K3 0.666 0.334 0.000
Sm1 0.167 0.833 0.500
Sm2 0.833 0.167 0.500
Sn1 0.500 0.500 0.500
S1 0.103 0.432 0.296
S2 0.239 0.239 0.704
S3 0.432 0.103 0.296
S4 0.568 0.897 0.704
S5 0.761 0.761 0.296
S6 0.897 0.568 0.704